DFT (PBE-GGA) results for crystalline BaAcP2Pt4 at its relaxed geometry.

```
data_BaAcP2Pt4
_chemical_formula_sum 'Ba1 Ac1 P2 Pt4'
_space_group_name_H-M_alt 'P 4/m m m'
_space_group_IT_number 123
_space_group_name_Hall '-P 4 2'
_cell_length_a 4.380
_cell_length_b 4.380
_cell_length_c 10.033
_cell_angle_alpha 90.00
_cell_angle_beta 90.00
_cell_angle_gamma 90.00
loop_
_atom_site_label
_atom_site_fract_x
_atom_site_fract_y
_atom_site_fract_z
Ba1 0.000 0.000 0.000
Ac1 0.000 0.000 0.500
P1 0.500 0.500 0.189
Pt1 0.000 0.500 0.275
```

Formation energy = -0.8510 eV/atom
Uncorrected energy = -47.822 eV per cell
DOS(E_F) = 0.7876 states/eV/atom

***

DFT (PBE-GGA) results for crystalline BaAcPS at its relaxed geometry.

```
data_BaAcPS
_chemical_formula_sum 'Ba3 Ac3 P3 S3'
_space_group_name_H-M_alt 'R 3 m'
_space_group_IT_number 160
_space_group_name_Hall 'R 3 -2"'
_cell_length_a 4.4962
_cell_length_b 4.4962
_cell_length_c 22.3062
_cell_angle_alpha 90.00
_cell_angle_beta 90.00
_cell_angle_gamma 120.00
loop_
_atom_site_label
_atom_site_fract_x
_atom_site_fract_y
_atom_site_fract_z
Ba1 0.0000 0.0000 0.0000
Ac1 0.0000 0.0000 0.4955
P1 0.0000 0.0000 0.7560
S1 0.0000 0.0000 0.2422
```

Uncorrected energy = -67.358 eV per cell
E_form (uncorrected) = -1.72 eV/atom

***

DFT (PBE-GGA) results for crystalline BaAcP2S8 at its relaxed geometry.

```
data_BaAcP2S8
_chemical_formula_sum 'Ba1 Ac1 P2 S8'
_space_group_name_H-M_alt 'P -3'
_space_group_IT_number 147
_space_group_name_Hall '-P 3'
_cell_length_a 6.1320
_cell_length_b 6.1320
_cell_length_c 9.7865
_cell_angle_alpha 90.00
_cell_angle_beta 90.00
_cell_angle_gamma 120.00
loop_
_atom_site_label
_atom_site_fract_x
_atom_site_fract_y
_atom_site_fract_z
Ba1 0.0000 0.0000 0.0000
Ac1 0.0000 0.0000 0.5000
P1 0.3333 0.6667 0.7679
S1 0.9999 0.3618 0.7063
S2 0.3333 0.6667 0.9758
```

Uncorrected energy = -60.404 eV per cell
DOS(E_F) = 1.1788 states/eV/atom
E_form (uncorrected) = -0.88 eV/atom

***

DFT (PBE-GGA) results for crystalline Ba2AcUP4 at its relaxed geometry.

```
data_Ba2AcUP4
_chemical_formula_sum 'Ba2 Ac1 U1 P4'
_space_group_name_H-M_alt 'P 1 2/m 1'
_space_group_IT_number 10
_space_group_name_Hall '-P 2y'
_cell_length_a 7.557
_cell_length_b 4.368
_cell_length_c 7.770
_cell_angle_alpha 90.00
_cell_angle_beta 109.03
_cell_angle_gamma 90.00
loop_
_atom_site_label
_atom_site_fract_x
_atom_site_fract_y
_atom_site_fract_z
Ba1 0.000 0.000 0.000
Ba2 0.500 0.500 0.000
Ac1 0.000 0.500 0.500
U1 0.500 0.000 0.500
P1 0.269 0.000 0.710
P2 0.290 0.500 0.299
```

Formation energy = -1.0644 eV/atom
Uncorrected energy = -49.397 eV per cell
DOS(E_F) = 0.5483 states/eV/atom

***

DFT (PBE-GGA) results for crystalline Ba3Ac2UP6 at its relaxed geometry.

```
data_Ba3Ac2UP6
_chemical_formula_sum 'Ba6 Ac4 U2 P12'
_space_group_name_H-M_alt 'C 1 2/m 1'
_space_group_IT_number 12
_space_group_name_Hall '-C 2y'
_cell_length_a 7.638
_cell_length_b 13.213
_cell_length_c 7.812
_cell_angle_alpha 90.00
_cell_angle_beta 109.10
_cell_angle_gamma 90.00
loop_
_atom_site_label
_atom_site_fract_x
_atom_site_fract_y
_atom_site_fract_z
Ba1 0.000 0.000 0.000
Ba2 0.000 0.331 0.000
Ac1 0.000 0.166 0.500
U1 0.000 0.500 0.500
P1 0.218 0.351 0.710
P2 0.226 0.500 0.290
```

Formation energy = -1.1347 eV/atom
Uncorrected energy = -142.698 eV per cell

***

DFT (PBE-GGA) results for crystalline Ba3Ac2PaSb6 at its relaxed geometry.

```
data_Ba3Ac2PaSb6
_chemical_formula_sum 'Ba6 Ac4 Pa2 Sb12'
_space_group_name_H-M_alt 'C 1 2/m 1'
_space_group_IT_number 12
_space_group_name_Hall '-C 2y'
_cell_length_a 8.307
_cell_length_b 14.422
_cell_length_c 8.469
_cell_angle_alpha 90.00
_cell_angle_beta 109.27
_cell_angle_gamma 90.00
loop_
_atom_site_label
_atom_site_fract_x
_atom_site_fract_y
_atom_site_fract_z
Ba1 0.000 0.000 0.000
Ba2 0.000 0.327 0.000
Ac1 0.000 0.166 0.500
Pa1 0.000 0.500 0.500
Sb1 0.228 0.345 0.719
Sb2 0.234 0.500 0.278
```

Uncorrected energy = -119.478 eV per cell
DOS(E_F) = 1.0416 states/eV/atom
E_form (uncorrected) = -0.96 eV/atom